1.
Here is an optimized crystal structure of DyThCdIn from Alexandria. Energies are from GGA-PBE.

Cell lengths 5.3894, 5.3894, 5.3894 Å; angles 60.00, 60.00, 60.00 degrees
Fractional coordinates of all 4 atoms:
Cd 0.7500 0.7500 0.7500
In 0.2500 0.2500 0.2500
Th 0.0000 0.0000 0.0000
Dy 0.5000 0.5000 0.5000

Calculated values
ΔE_f = -104 kJ/mol of formula units


2.
Here is an optimized crystal structure of Dy2ScPb from Alexandria. Energies are from GGA-PBE.

Cell lengths 3.4693, 3.4693, 11.8724 Å; angles 81.60, 81.60, 60.00 degrees
Fractional coordinates of all 4 atoms:
Pb 0.0000 0.0000 0.0000
Sc 0.5000 0.5000 0.5000
Dy 0.0908 0.0908 0.7277
Dy 0.9092 0.9092 0.2723

Calculated values
ΔE_f = 22 kJ/mol of formula units
Relative energy among the computed polymorphs = 319 meV/atom


3.
Here is an optimized crystal structure of Tb12CeNd7 from Alexandria. Energies are from GGA-PBE.

Cell lengths 8.7589, 8.7589, 8.7589 Å; angles 90.86, 90.86, 90.86 degrees
Fractional coordinates of all 20 atoms:
Tb 0.7794 0.2403 0.6339
Tb 0.7597 0.3661 0.2206
Tb 0.4479 0.1251 0.3667
Tb 0.8749 0.6333 0.5521
Tb 0.3661 0.2206 0.7597
Tb 0.6333 0.5521 0.8749
Tb 0.3667 0.4479 0.1251
Tb 0.6339 0.7794 0.2403
Tb 0.1251 0.3667 0.4479
Tb 0.5521 0.8749 0.6333
Tb 0.2403 0.6339 0.7794
Tb 0.2206 0.7597 0.3661
Ce 0.0000 0.0000 0.0000
Nd 0.9591 0.6694 0.0586
Nd 0.3306 0.9414 0.0409
Nd 0.9414 0.0409 0.3306
Nd 0.5000 0.5000 0.5000
Nd 0.0586 0.9591 0.6694
Nd 0.6694 0.0586 0.9591
Nd 0.0409 0.3306 0.9414

Calculated values
ΔE_f = 451 kJ/mol of formula units